# 1
! Sr2PrPd | Alexandria via LeMat-Bulk | PBE | relaxed; values from VASP
! Symmetry   R-3m
! DOS at the Fermi energy   3.60 states/eV/cell
! DFT formation energy   -14 kJ/mol of formula units
&SYSTEM
  ibrav = 0, nat = 4, ntyp = 3
/
ATOMIC_SPECIES
Pr 140.91 Pr.upf
Sr 87.62 Sr.upf
Pd 106.42 Pd.upf
ATOMIC_POSITIONS angstrom
Pr 0.000 0.000 0.000
Sr 1.984 1.145 7.632
Sr 5.951 3.436 3.796
Pd 3.967 2.291 5.714
CELL_PARAMETERS angstrom
3.967 0.000 0.000
1.984 3.436 0.000
1.984 1.145 11.428



# 2
! Pr2OsBr | Alexandria via LeMat-Bulk | PBE | relaxed; values from VASP
! Polymorph energy (0 for the lowest one)   0 meV/atom
! Symmetry   P4/mmm
! DOS at the Fermi energy   2.00 states/eV/cell
! Formation energy (no corrections)   -0.62 eV per atom
&SYSTEM
  ibrav = 0, nat = 4, ntyp = 3
/
ATOMIC_SPECIES
Pr 140.91 Pr.upf
Os 190.23 Os.upf
Br 79.90 Br.upf
ATOMIC_POSITIONS angstrom
Pr 0.000 0.000 6.646
Pr 0.000 0.000 1.775
Os 1.746 1.746 0.000
Br 1.746 1.746 4.210
CELL_PARAMETERS angstrom
3.491 0.000 0.000
0.000 3.491 0.000
0.000 0.000 8.420



# 3
! Ce2DyY3Sb6 | Alexandria via LeMat-Bulk | PBE | relaxed; values from VASP
! Symmetry   C2/m
! DOS at the Fermi energy   13.39 states/eV/cell
! Formation energy (no corrections)   -1.12 eV per atom
&SYSTEM
  ibrav = 0, nat = 12, ntyp = 4
/
ATOMIC_SPECIES
Ce 140.12 Ce.upf
Dy 162.50 Dy.upf
Y 88.91 Y.upf
Sb 121.76 Sb.upf
ATOMIC_POSITIONS angstrom
Ce 0.005 4.426 0.000
Ce 3.832 2.217 0.000
Dy 0.000 0.000 0.000
Y -2.541 4.419 3.613
Y 5.098 0.008 3.613
Y 1.278 2.213 3.613
Sb 3.825 2.233 5.399
Sb 2.570 4.450 1.840
Sb -1.268 2.194 1.826
Sb 0.023 4.429 5.399
Sb -0.013 -0.023 5.385
Sb 2.534 -0.002 1.826
CELL_PARAMETERS angstrom
7.671 -0.001 0.000
-3.834 6.644 0.000
-1.280 -2.216 7.224



# 4
! LiMg2Sb2 | Alexandria via LeMat-Bulk | PBE | relaxed; values from VASP
! Polymorph energy (0 for the lowest one)   46 meV/atom
! Symmetry   I4/mmm
! DOS at the Fermi energy   2.70 states/eV/cell
! Formation energy (no corrections)   -0.25 eV per atom
&SYSTEM
  ibrav = 0, nat = 5, ntyp = 3
/
ATOMIC_SPECIES
Sb 121.76 Sb.upf
Mg 24.30 Mg.upf
Li 6.94 Li.upf
ATOMIC_POSITIONS angstrom
Sb 2.280 2.280 1.575
Sb 4.561 4.561 5.133
Mg 4.561 2.280 3.354
Mg 2.280 4.561 3.354
Li 0.000 0.000 0.000
CELL_PARAMETERS angstrom
4.561 0.000 0.000
0.000 4.561 0.000
2.280 2.280 6.708



# 5
! MgPdO2 | Alexandria via LeMat-Bulk | PBE | relaxed; values from VASP
! Symmetry   R-3m
! DOS at the Fermi energy   3.61 states/eV/cell
! Formation energy (no corrections)   -1.35 eV per atom
&SYSTEM
  ibrav = 0, nat = 4, ntyp = 3
/
ATOMIC_SPECIES
Mg 24.30 Mg.upf
O 16.00 O.upf
Pd 106.42 Pd.upf
ATOMIC_POSITIONS angstrom
Mg 1.146 -6.811 5.902
O 2.050 -12.179 10.553
O 0.243 -1.443 1.250
Pd 0.000 0.000 0.000
CELL_PARAMETERS angstrom
-0.885 -4.421 4.393
1.224 -5.578 2.648
1.954 -3.622 4.763